# Ag5AsO4F2 (PBE-GGA, optimized geometry)
data_Ag5AsO4F2
_space_group_name_H-M_alt 'P 1'
_space_group_IT_number 1
_cell_length_a 5.659
_cell_length_b 5.470
_cell_length_c 7.057
_cell_angle_alpha 90.00
_cell_angle_beta 90.00
_cell_angle_gamma 121.15
loop_
_space_group_symop_operation_xyz
'x,y,z'
loop_
_atom_site_label
_atom_site_type_symbol
_atom_site_fract_x
_atom_site_fract_y
_atom_site_fract_z
F1 F 0.976 0.633 0.500
F2 F 0.342 0.367 0.500
As1 As 0.399 0.000 0.000
Ag1 Ag 0.723 0.654 0.758
Ag2 Ag 0.069 0.346 0.242
Ag3 Ag 0.723 0.654 0.242
Ag4 Ag 0.479 0.000 0.500
Ag5 Ag 0.069 0.346 0.758
O1 O 0.074 0.694 0.000
O2 O 0.380 0.306 0.000
O3 O 0.586 0.000 0.804
O4 O 0.586 0.000 0.196
# Formation energy from raw total energies, meV/atom: -713
# Magnetization, μB/atom: 0.0000
# E, eV per atom: -4.25